Entry 1:
## Ca2AsCl (PBE-GGA)

Data for Ca2AsCl after structural relaxation.

Results
- N(E_F) (states/eV per cell) = 2.8
- formation energy (no corrections) (eV per atom) = -0.7412
- crystal system = trigonal
- energy (eV per cell) = -13.464
- symmetry = R3m (160)

Cell and atoms, written as CIF:
```
data_Ca2AsCl
_cell_length_a 10.7293
_cell_length_b 10.7293
_cell_length_c 10.7293
_cell_angle_alpha 20.90
_cell_angle_beta 20.90
_cell_angle_gamma 20.90
_symmetry_space_group_name_H-M 'P 1'
_symmetry_Int_Tables_number 1
loop_
_symmetry_equiv_pos_as_xyz
'x,y,z'
loop_
_atom_site_label
_atom_site_fract_x
_atom_site_fract_y
_atom_site_fract_z
Ca1 0.0000 0.0000 0.0000
Ca2 0.2195 0.2195 0.2195
As1 0.7269 0.7269 0.7269
Cl1 0.5055 0.5055 0.5055
```

Entry 2:
## TeAsSI2 (PBE-GGA)

Data for TeAsSI2 after structural relaxation.

Results
- N(E_F) (states/eV per cell) = 6.7
- formation energy (no corrections) (eV per atom) = 0.7887
- crystal system = tetragonal
- energy (eV per cell) = -11.076
- excess energy over the best structure of this formula in the dataset (eV/f.u.) = 0.42
- symmetry = P4/mmm (123)

Cell and atoms, written as CIF:
```
data_TeAsSI2
_cell_length_a 5.3995
_cell_length_b 5.3995
_cell_length_c 5.4030
_cell_angle_alpha 90.00
_cell_angle_beta 90.00
_cell_angle_gamma 90.00
_symmetry_space_group_name_H-M 'P 1'
_symmetry_Int_Tables_number 1
loop_
_symmetry_equiv_pos_as_xyz
'x,y,z'
loop_
_atom_site_label
_atom_site_fract_x
_atom_site_fract_y
_atom_site_fract_z
Te1 0.0000 0.0000 0.0000
As1 0.5000 0.5000 0.0000
S1 0.0000 0.0000 0.5000
I1 0.0000 0.5000 0.5000
I2 0.5000 0.0000 0.5000
```

Entry 3:
## Sm2TmPt (PBE-GGA)

Data for Sm2TmPt after structural relaxation.

Results
- N(E_F) (states/eV per cell) = 5.7
- crystal system = tetragonal
- energy (eV per cell) = -21.969
- excess energy over the best structure of this formula in the dataset (eV/f.u.) = 0.69
- symmetry = P4/mmm (123)

Cell and atoms, written as CIF:
```
data_Sm2TmPt
_cell_length_a 3.6441
_cell_length_b 3.6441
_cell_length_c 8.3726
_cell_angle_alpha 90.00
_cell_angle_beta 90.00
_cell_angle_gamma 90.00
_symmetry_space_group_name_H-M 'P 1'
_symmetry_Int_Tables_number 1
loop_
_symmetry_equiv_pos_as_xyz
'x,y,z'
loop_
_atom_site_label
_atom_site_fract_x
_atom_site_fract_y
_atom_site_fract_z
Sm1 0.0000 0.0000 0.2005
Sm2 0.0000 0.0000 0.7995
Tm1 0.5000 0.5000 0.5000
Pt1 0.5000 0.5000 0.0000
```

Entry 4:
## NdZn2In (PBE-GGA)

Data for NdZn2In after structural relaxation.

Results
- N(E_F) (states/eV per cell) = 1.9
- crystal system = orthorhombic
- energy (eV per cell) = -10.722
- symmetry = Amm2 (38)

Cell and atoms, written as CIF:
```
data_NdZn2In
_cell_length_a 3.2927
_cell_length_b 5.7042
_cell_length_c 5.7042
_cell_angle_alpha 61.36
_cell_angle_beta 90.00
_cell_angle_gamma 90.00
_symmetry_space_group_name_H-M 'P 1'
_symmetry_Int_Tables_number 1
loop_
_symmetry_equiv_pos_as_xyz
'x,y,z'
loop_
_atom_site_label
_atom_site_fract_x
_atom_site_fract_y
_atom_site_fract_z
Nd1 0.0000 0.0000 0.0000
Zn1 0.5000 0.5009 0.9985
Zn2 0.5000 0.9985 0.5009
In1 0.5000 0.4991 0.4991
```

Entry 5:
## MgSc2CdH (PBE-GGA)

Data for MgSc2CdH after structural relaxation.

Results
- N(E_F) (states/eV per cell) = 3.8
- crystal system = tetragonal
- energy (eV per cell) = -19.345
- excess energy over the best structure of this formula in the dataset (eV/f.u.) = 0.38
- symmetry = P4/mmm (123)

Cell and atoms, written as CIF:
```
data_MgSc2CdH
_cell_length_a 4.4542
_cell_length_b 4.4542
_cell_length_c 4.5594
_cell_angle_alpha 90.00
_cell_angle_beta 90.00
_cell_angle_gamma 90.00
_symmetry_space_group_name_H-M 'P 1'
_symmetry_Int_Tables_number 1
loop_
_symmetry_equiv_pos_as_xyz
'x,y,z'
loop_
_atom_site_label
_atom_site_fract_x
_atom_site_fract_y
_atom_site_fract_z
Mg1 0.0000 0.0000 0.0000
Sc1 0.0000 0.5000 0.5000
Sc2 0.5000 0.0000 0.5000
Cd1 0.5000 0.5000 0.0000
H1 0.5000 0.5000 0.5000
```

Entry 6:
## Tb2HfPd (PBE-GGA)

Data for Tb2HfPd after structural relaxation.

Results
- N(E_F) (states/eV per cell) = 4.0
- crystal system = tetragonal
- energy (eV per cell) = -25.688
- symmetry = P4/mmm (123)

Cell and atoms, written as CIF:
```
data_Tb2HfPd
_cell_length_a 3.5023
_cell_length_b 3.5023
_cell_length_c 7.8997
_cell_angle_alpha 90.00
_cell_angle_beta 90.00
_cell_angle_gamma 90.00
_symmetry_space_group_name_H-M 'P 1'
_symmetry_Int_Tables_number 1
loop_
_symmetry_equiv_pos_as_xyz
'x,y,z'
loop_
_atom_site_label
_atom_site_fract_x
_atom_site_fract_y
_atom_site_fract_z
Tb1 0.0000 0.0000 0.2205
Tb2 0.0000 0.0000 0.7795
Hf1 0.5000 0.5000 0.5000
Pd1 0.5000 0.5000 0.0000
```

Entry 7:
## TaMn2Ag2S6 (PBE-GGA)

Data for TaMn2Ag2S6 after structural relaxation.

Results
- N(E_F) (states/eV per cell) = 1.9
- formation energy (no corrections) (eV per atom) = -0.5061
- crystal system = monoclinic
- energy (eV per cell) = -66.227
- symmetry = C2/m (12)

Cell and atoms, written as CIF:
```
data_TaMn2Ag2S6
_cell_length_a 5.7801
_cell_length_b 5.7801
_cell_length_c 7.8593
_cell_angle_alpha 98.50
_cell_angle_beta 98.50
_cell_angle_gamma 121.03
_symmetry_space_group_name_H-M 'P 1'
_symmetry_Int_Tables_number 1
loop_
_symmetry_equiv_pos_as_xyz
'x,y,z'
loop_
_atom_site_label
_atom_site_fract_x
_atom_site_fract_y
_atom_site_fract_z
Ta1 0.0000 0.0000 0.0000
Mn1 0.3493 0.6507 0.0000
Mn2 0.6507 0.3493 0.0000
Ag1 0.1867 0.8133 0.5000
Ag2 0.8133 0.1867 0.5000
S1 0.0783 0.7222 0.1803
S2 0.2778 0.9217 0.8197
S3 0.4321 0.4321 0.1966
S4 0.5679 0.5679 0.8034
S5 0.7222 0.0783 0.1803
S6 0.9217 0.2778 0.8197
```

Entry 8:
## KLi2Tl (PBE-GGA)

Data for KLi2Tl after structural relaxation.

Results
- N(E_F) (states/eV per cell) = 1.5
- crystal system = monoclinic
- energy (eV per cell) = -7.469
- excess energy over the best structure of this formula in the dataset (eV/f.u.) = 0.04
- symmetry = Pm (6)

Cell and atoms, written as CIF:
```
data_KLi2Tl
_cell_length_a 3.8081
_cell_length_b 3.6940
_cell_length_c 8.4531
_cell_angle_alpha 90.00
_cell_angle_beta 90.15
_cell_angle_gamma 90.00
_symmetry_space_group_name_H-M 'P 1'
_symmetry_Int_Tables_number 1
loop_
_symmetry_equiv_pos_as_xyz
'x,y,z'
loop_
_atom_site_label
_atom_site_fract_x
_atom_site_fract_y
_atom_site_fract_z
K1 0.0000 0.0000 0.0000
Li1 0.9997 0.0000 0.5262
Li2 0.5006 0.5000 0.3492
Tl1 0.5007 0.5000 0.6931
```

Entry 9:
## HfFeCo3 (PBE-GGA)

Data for HfFeCo3 after structural relaxation.

Results
- N(E_F) (states/eV per cell) = 8.7
- crystal system = cubic
- energy (eV per cell) = -32.003
- excess energy over the best structure of this formula in the dataset (eV/f.u.) = 8.14
- symmetry = Pm-3m (221)

Cell and atoms, written as CIF:
```
data_HfFeCo3
_cell_length_a 4.4592
_cell_length_b 4.4592
_cell_length_c 4.4592
_cell_angle_alpha 90.00
_cell_angle_beta 90.00
_cell_angle_gamma 90.00
_symmetry_space_group_name_H-M 'P 1'
_symmetry_Int_Tables_number 1
loop_
_symmetry_equiv_pos_as_xyz
'x,y,z'
loop_
_atom_site_label
_atom_site_fract_x
_atom_site_fract_y
_atom_site_fract_z
Hf1 0.0000 0.0000 0.0000
Fe1 0.5000 0.5000 0.5000
Co1 0.0000 0.0000 0.5000
Co2 0.0000 0.5000 0.0000
Co3 0.5000 0.0000 0.0000
```

Entry 10:
## Tm3Al7Zn2 (PBE-GGA)

Data for Tm3Al7Zn2 after structural relaxation.

Results
- N(E_F) (states/eV per cell) = 3.6
- crystal system = trigonal
- energy (eV per cell) = -46.828
- symmetry = R-3m (166)

Cell and atoms, written as CIF:
```
data_Tm3Al7Zn2
_cell_length_a 9.1638
_cell_length_b 9.1638
_cell_length_c 9.1638
_cell_angle_alpha 34.88
_cell_angle_beta 34.88
_cell_angle_gamma 34.88
_symmetry_space_group_name_H-M 'P 1'
_symmetry_Int_Tables_number 1
loop_
_symmetry_equiv_pos_as_xyz
'x,y,z'
loop_
_atom_site_label
_atom_site_fract_x
_atom_site_fract_y
_atom_site_fract_z
Tm1 0.0000 0.0000 0.0000
Tm2 0.1412 0.1412 0.1412
Tm3 0.8588 0.8588 0.8588
Al1 0.0761 0.5857 0.5857
Al2 0.4143 0.4143 0.9239
Al3 0.4143 0.9239 0.4143
Al4 0.5000 0.5000 0.5000
Al5 0.5857 0.0761 0.5857
Al6 0.5857 0.5857 0.0761
Al7 0.9239 0.4143 0.4143
Zn1 0.3351 0.3351 0.3351
Zn2 0.6649 0.6649 0.6649
```

Entry 11:
## LiUHgCl6 (PBE-GGA)

Data for LiUHgCl6 after structural relaxation.

Results
- formation energy (no corrections) (eV per atom) = -1.4906
- crystal system = trigonal
- energy (eV per cell) = -37.999
- symmetry = P312 (149)

Cell and atoms, written as CIF:
```
data_LiUHgCl6
_cell_length_a 6.6249
_cell_length_b 6.6249
_cell_length_c 9.2198
_cell_angle_alpha 90.00
_cell_angle_beta 90.00
_cell_angle_gamma 120.00
_symmetry_space_group_name_H-M 'P 1'
_symmetry_Int_Tables_number 1
loop_
_symmetry_equiv_pos_as_xyz
'x,y,z'
loop_
_atom_site_label
_atom_site_fract_x
_atom_site_fract_y
_atom_site_fract_z
Li1 0.0000 0.0000 0.0000
U1 0.6667 0.3333 0.0000
Hg1 0.3333 0.6667 0.5000
Cl1 0.3428 0.0286 0.1575
Cl2 0.3428 0.3142 0.8425
Cl3 0.6858 0.0286 0.8425
Cl4 0.6858 0.6572 0.1575
Cl5 0.9714 0.3142 0.1575
Cl6 0.9714 0.6572 0.8425
```

Entry 12:
## ZnTe3C (PBE-GGA)

Data for ZnTe3C after structural relaxation.

Results
- N(E_F) (states/eV per cell) = 6.9
- formation energy (no corrections) (eV per atom) = 1.7535
- crystal system = cubic
- energy (eV per cell) = -11.155
- excess energy over the best structure of this formula in the dataset (eV/f.u.) = 3.86
- symmetry = Pm-3m (221)

Cell and atoms, written as CIF:
```
data_ZnTe3C
_cell_length_a 5.2696
_cell_length_b 5.2696
_cell_length_c 5.2696
_cell_angle_alpha 90.00
_cell_angle_beta 90.00
_cell_angle_gamma 90.00
_symmetry_space_group_name_H-M 'P 1'
_symmetry_Int_Tables_number 1
loop_
_symmetry_equiv_pos_as_xyz
'x,y,z'
loop_
_atom_site_label
_atom_site_fract_x
_atom_site_fract_y
_atom_site_fract_z
Zn1 0.0000 0.0000 0.0000
Te1 0.0000 0.0000 0.5000
Te2 0.0000 0.5000 0.0000
Te3 0.5000 0.0000 0.0000
C1 0.5000 0.5000 0.5000
```

Entry 13:
## Sc2InTc (PBE-GGA)

Data for Sc2InTc after structural relaxation.

Results
- N(E_F) (states/eV per cell) = 5.0
- crystal system = tetragonal
- energy (eV per cell) = -26.374
- symmetry = I-4m2 (119)

Cell and atoms, written as CIF:
```
data_Sc2InTc
_cell_length_a 5.2406
_cell_length_b 5.2406
_cell_length_c 5.2406
_cell_angle_alpha 132.06
_cell_angle_beta 132.06
_cell_angle_gamma 70.14
_symmetry_space_group_name_H-M 'P 1'
_symmetry_Int_Tables_number 1
loop_
_symmetry_equiv_pos_as_xyz
'x,y,z'
loop_
_atom_site_label
_atom_site_fract_x
_atom_site_fract_y
_atom_site_fract_z
Sc1 0.0000 0.0000 0.0000
Sc2 0.7500 0.2500 0.5000
In1 0.5000 0.5000 0.0000
Tc1 0.2500 0.7500 0.5000
```

Entry 14:
## Ba2H2S (PBE-GGA)

Data for Ba2H2S after structural relaxation.

Results
- N(E_F) (states/eV per cell) = 0.0
- crystal system = monoclinic
- energy (eV per cell) = -40.604
- excess energy over the best structure of this formula in the dataset (eV/f.u.) = 0.00
- symmetry = C2/c (15)

Cell and atoms, written as CIF:
```
data_Ba2H2S
_cell_length_a 8.6404
_cell_length_b 8.6404
_cell_length_c 7.8436
_cell_angle_alpha 116.98
_cell_angle_beta 116.98
_cell_angle_gamma 30.38
_symmetry_space_group_name_H-M 'P 1'
_symmetry_Int_Tables_number 1
loop_
_symmetry_equiv_pos_as_xyz
'x,y,z'
loop_
_atom_site_label
_atom_site_fract_x
_atom_site_fract_y
_atom_site_fract_z
Ba1 0.1247 0.6238 0.7910
Ba2 0.3762 0.8753 0.7090
Ba3 0.6238 0.1247 0.2910
Ba4 0.8753 0.3762 0.2090
H1 0.0596 0.5613 0.3940
H2 0.4387 0.9404 0.1060
H3 0.5613 0.0596 0.8940
H4 0.9404 0.4387 0.6060
S1 0.2497 0.7503 0.2500
S2 0.7503 0.2497 0.7500
```

Entry 15:
## HgP2Pb (PBE-GGA)

Data for HgP2Pb after structural relaxation.

Results
- N(E_F) (states/eV per cell) = 2.3
- crystal system = tetragonal
- energy (eV per cell) = -13.205
- excess energy over the best structure of this formula in the dataset (eV/f.u.) = 1.13
- symmetry = P4/mmm (123)

Cell and atoms, written as CIF:
```
data_HgP2Pb
_cell_length_a 3.8225
_cell_length_b 3.8225
_cell_length_c 6.3192
_cell_angle_alpha 90.00
_cell_angle_beta 90.00
_cell_angle_gamma 90.00
_symmetry_space_group_name_H-M 'P 1'
_symmetry_Int_Tables_number 1
loop_
_symmetry_equiv_pos_as_xyz
'x,y,z'
loop_
_atom_site_label
_atom_site_fract_x
_atom_site_fract_y
_atom_site_fract_z
Hg1 0.0000 0.0000 0.0000
P1 0.5000 0.5000 0.1755
P2 0.5000 0.5000 0.8245
Pb1 0.0000 0.0000 0.5000
```

Entry 16:
## TaV2Ga (PBE-GGA)

Data for TaV2Ga after structural relaxation.

Results
- N(E_F) (states/eV per cell) = 9.8
- crystal system = tetragonal
- energy (eV per cell) = -62.138
- symmetry = I-42d (122)

Cell and atoms, written as CIF:
```
data_TaV2Ga
_cell_length_a 5.6269
_cell_length_b 5.6269
_cell_length_c 5.6269
_cell_angle_alpha 102.39
_cell_angle_beta 102.39
_cell_angle_gamma 124.80
_symmetry_space_group_name_H-M 'P 1'
_symmetry_Int_Tables_number 1
loop_
_symmetry_equiv_pos_as_xyz
'x,y,z'
loop_
_atom_site_label
_atom_site_fract_x
_atom_site_fract_y
_atom_site_fract_z
Ta1 0.0000 0.0000 0.0000
Ta2 0.7500 0.2500 0.5000
V1 0.1410 0.6250 0.0160
V2 0.3750 0.3910 0.5160
V3 0.6090 0.1250 0.9840
V4 0.8750 0.8590 0.4840
Ga1 0.2500 0.7500 0.5000
Ga2 0.5000 0.5000 0.0000
```

Entry 17:
## MnNi2Cl (PBE-GGA)

Data for MnNi2Cl after structural relaxation.

Results
- N(E_F) (states/eV per cell) = 3.2
- formation energy (no corrections) (eV per atom) = 0.2909
- crystal system = monoclinic
- energy (eV per cell) = -21.415
- excess energy over the best structure of this formula in the dataset (eV/f.u.) = 0.86
- symmetry = C2/m (12)

Cell and atoms, written as CIF:
```
data_MnNi2Cl
_cell_length_a 4.5345
_cell_length_b 4.5345
_cell_length_c 4.3995
_cell_angle_alpha 92.48
_cell_angle_beta 92.48
_cell_angle_gamma 38.07
_symmetry_space_group_name_H-M 'P 1'
_symmetry_Int_Tables_number 1
loop_
_symmetry_equiv_pos_as_xyz
'x,y,z'
loop_
_atom_site_label
_atom_site_fract_x
_atom_site_fract_y
_atom_site_fract_z
Mn1 0.0000 0.0000 0.0000
Ni1 0.2750 0.2750 0.7787
Ni2 0.7250 0.7250 0.2213
Cl1 0.5000 0.5000 0.5000
```